A plane-wave DFT calculation with PBE-GGA was carried out for a geometry-optimized MgTa2NiSe structure.

Lattice parameters (Å, degrees): 4.834 4.834 4.553 90.00 90.00 90.00
Space group P4/mmm (No. 123)
Asymmetric unit:
Mg (0.000, 0.000, 0.000) (multiplicity 1)
Ta (0.000, 0.500, 0.000) (multiplicity 2)
Ni (0.500, 0.500, 0.500) (multiplicity 1)
Se (0.000, 0.000, 0.500) (multiplicity 1)

Values from the calculation:
**Spin magnetization**: 0.69 μB/f.u.
**Energy relative to the elements, uncorrected**: 2.01 eV per atom